Model 1:
## NiPdAu (PBE)

Data for NiPdAu after structural relaxation.

Results
Magnetic moment ... 1.6 μB per cell

a = 2.8310 Å, b = 2.8310 Å, c = 11.8237 Å
α = 103.75°, β = 103.75°, γ = 90.13°
Closest atoms and distances in Å follow each position.
Element x y z (fractional)
Au: 0.6495 0.6496 0.4004  8 Au 2.83-2.99, 4 Pd 2.89
Au: 0.3505 0.3504 0.5996  8 Au 2.83-2.99, 4 Pd 2.89
Pd: 0.9621 0.9622 0.2131  4 Ni 2.62, 4 Pd 2.83, 4 Au 2.89
Pd: 0.0379 0.0378 0.7869  4 Ni 2.62, 4 Pd 2.83, 4 Au 2.89
Ni: 0.6890 0.6890 0.9387  4 Ni 2.42-2.43, 4 Pd 2.62
Ni: 0.3110 0.3110 0.0613  4 Ni 2.42-2.43, 4 Pd 2.62

---

Model 2:
## NiPdAu (PBE)

Data for NiPdAu after structural relaxation.

Results
Magnetic moment ... 1.7 μB per cell

a = 3.9454 Å, b = 4.8566 Å, c = 5.5377 Å
α = 110.33°, β = 90.06°, γ = 65.98°
Closest atoms and distances in Å follow each position.
Element x y z (fractional)
Ni: 0.6561 0.1875 0.9200  1 Ni 2.57, 5 Pd 2.61-2.80, 4 Au 2.69-2.83
Ni: 0.3439 0.8125 0.0800  1 Ni 2.57, 5 Pd 2.61-2.80, 4 Au 2.69-2.83
Pd: 0.9867 0.5269 0.7676  5 Ni 2.61-2.80, 2 Pd 2.67-2.88, 5 Au 2.79-2.88
Pd: 0.0133 0.4731 0.2324  5 Ni 2.61-2.80, 2 Pd 2.67-2.88, 5 Au 2.79-2.88
Au: 0.6750 0.1501 0.3976  4 Ni 2.69-2.83, 5 Pd 2.79-2.88, 3 Au 2.84-2.87
Au: 0.3250 0.8499 0.6024  4 Ni 2.69-2.83, 5 Pd 2.79-2.88, 3 Au 2.84-2.87

---

In terms of stability, model 1 leads; the second structure lies 42 meV/atom higher.

---

Model 1:
## NiPdAu (PBE)

Data for NiPdAu after structural relaxation.

Results
Magnetic moment ... 0.7 μB per cell

a = 2.8276 Å, b = 2.8276 Å, c = 5.9293 Å
α = 103.79°, β = 103.79°, γ = 90.00°
Closest atoms and distances in Å follow each position.
Element x y z (fractional)
Ni: 0.6711 0.6711 0.3423  4 Pd 2.60, 4 Au 2.70, 4 Ni 2.83
Au: 0.0082 0.0082 0.0164  4 Ni 2.70, 4 Au 2.83, 4 Pd 2.89
Pd: 0.3207 0.3207 0.6414  4 Ni 2.60, 4 Pd 2.83, 4 Au 2.89

---

Model 2:
## NiPdAu (PBE)

Data for NiPdAu after structural relaxation.

Results
Magnetic moment ... 0.8 μB per cell

a = 2.7547 Å, b = 4.3551 Å, c = 4.3551 Å
α = 120.00°, β = 90.00°, γ = 90.00°
Closest atoms and distances in Å follow each position.
Element x y z (fractional)
Ni: 0.2660 0.3333 0.6667  3 Pd 2.56, 3 Au 2.72, 2 Ni 2.75
Au: 0.6426 0.6667 0.3333  6 Ni 2.72-3.04, 2 Au 2.75, 6 Pd 2.80-2.94
Pd: 0.0914 0.0000 0.0000  3 Ni 2.56, 2 Pd 2.75, 3 Au 2.80

---

Model 3:
## NiPdAu (PBE)

Data for NiPdAu after structural relaxation.

Results
Magnetic moment ... 1.6 μB per cell

a = 2.7818 Å, b = 2.8000 Å, c = 11.7246 Å
α = 89.98°, β = 83.45°, γ = 90.00°
Closest atoms and distances in Å follow each position.
Element x y z (fractional)
Ni: 0.8431 0.2918 0.8169  4 Ni 2.43, 4 Pd 2.62-2.63
Ni: 0.4011 0.7921 0.6955  4 Ni 2.43, 4 Pd 2.62-2.63
Pd: 0.9729 0.2915 0.5468  4 Ni 2.62-2.63, 4 Pd 2.78-2.80, 4 Au 2.90-2.91
Pd: 0.2719 0.7906 0.9655  4 Ni 2.62-2.63, 4 Pd 2.78-2.80, 4 Au 2.90-2.91
Au: 0.6866 0.2898 0.1482  6 Au 2.78-2.88, 4 Pd 2.90-2.91
Au: 0.5589 0.7908 0.3641  6 Au 2.78-2.88, 4 Pd 2.90-2.91

---

In terms of stability, model 3 leads; the second structure lies 14 meV/atom higher.